No. 1
Density functional theory data (PBE) for a geometry-optimized LaTcS2 structure.

Computed properties:
energy relative to the lowest polymorph listed for this composition: 1.06 eV/f.u.
space-group type: R-3m
VASP energy: -6.48 eV/atom

Cell: 7.8882 7.8882 7.8882 Å, 32.16 32.16 32.16°
Last column: magnetic moment on the atom in μB.
Positions (direct):
Tc (0.0000, 0.0000, 0.0000)  3.24
La (0.5000, 0.5000, 0.5000)  0.07
S (0.8952, 0.8952, 0.8952)  0.03
S (0.1048, 0.1048, 0.1048)  0.03


No. 2
Density functional theory data (PBE) for a geometry-optimized InH2Cl2 structure.

Computed properties:
space-group type: P2_1/m
VASP energy: -3.16 eV/atom

Cell: 5.0256 5.7515 9.6237 Å, 90.00 110.34 90.01°
Positions (direct):
Cl (0.8464, 0.2496, 0.2668)
Cl (0.1499, 0.7496, 0.7316)
H (0.8444, 0.7496, 0.0750)
H (0.3034, 0.2496, 0.9754)
Cl (0.5780, 0.2496, 0.6201)
In (0.6072, 0.7496, 0.6672)
H (0.6930, 0.7496, 0.0230)
H (0.1520, 0.2496, 0.9234)
In (0.3892, 0.2496, 0.3313)
Cl (0.4184, 0.7496, 0.3783)


No. 3
Density functional theory data (PBE) for a geometry-optimized La2Pm3Sn structure.

Computed properties:
energy relative to the lowest polymorph listed for this composition: 0.00 eV/f.u.
space-group type: Cmmm
VASP energy: -4.95 eV/atom
formation enthalpy at 0 K: -0.261 eV/atom

Cell: 4.8886 5.0118 8.2970 Å, 107.58 90.00 90.00°
Positions (direct):
La (0.0000, 0.6619, 0.3237)
Pm (0.5000, 0.5000, 0.0000)
Pm (0.5000, 0.8438, 0.6875)
La (0.0000, 0.3381, 0.6763)
Pm (0.5000, 0.1562, 0.3125)
Sn (0.0000, 0.0000, 0.0000)


No. 4
Density functional theory data (PBE) for a geometry-optimized Nb2Ga4Co structure.

Computed properties:
space-group type: I4/mmm
VASP energy: -5.33 eV/atom
formation enthalpy at 0 K: 0.287 eV/atom

Cell: 4.5503 4.5503 7.1593 Å, 71.47 71.47 90.00°
Positions (direct):
Nb (0.3915, 0.3915, 0.2170)
Ga (0.1845, 0.1845, 0.6310)
Nb (0.6085, 0.6085, 0.7830)
Ga (0.0000, 0.5000, 0.0000)
Ga (0.5000, 0.0000, 0.0000)
Co (0.0000, 0.0000, 0.0000)
Ga (0.8155, 0.8155, 0.3690)


No. 5
Density functional theory data (PBE) for a geometry-optimized TeAs2Ir structure.

Computed properties:
space-group type: Pmmm
VASP energy: -4.80 eV/atom

Cell: 3.2081 4.7676 4.9562 Å, 90.00 90.00 90.00°
Positions (direct):
Ir (0.5000, 0.0000, 0.5000)
As (0.5000, 0.5000, 0.0000)
As (0.0000, 0.0000, 0.0000)
Te (0.0000, 0.5000, 0.5000)


No. 6
Density functional theory data (PBE) for a geometry-optimized Rb2InReS structure.

Computed properties:
space-group type: P4/mmm
VASP energy: -3.16 eV/atom

Cell: 6.6896 5.1770 6.6896 Å, 90.00 90.00 90.00°
Last column: magnetic moment on the atom in μB.
Positions (direct):
Rb (0.5000, 0.0000, 0.0000)  -0.01
Re (0.0000, 0.5000, 0.0000)  2.75
In (0.0000, 0.0000, 0.0000)  -0.11
S (0.5000, 0.5000, 0.5000)  0.26
Rb (0.0000, 0.0000, 0.5000)  -0.01


No. 7
Density functional theory data (PBE) for a geometry-optimized SiBPCl2 structure.

Computed properties:
energy relative to the lowest polymorph listed for this composition: 1.27 eV/f.u.
space-group type: P4/mmm
VASP energy: -3.24 eV/atom

Cell: 4.6326 4.6326 4.7682 Å, 90.00 90.00 90.00°
Positions (direct):
B (0.5000, 0.5000, 0.5000)
Cl (0.5000, 0.0000, 0.0000)
Cl (0.0000, 0.5000, 0.0000)
Si (0.0000, 0.0000, 0.0000)
P (0.0000, 0.0000, 0.5000)


No. 8
Density functional theory data (PBE) for a geometry-optimized Ca5MgCu structure.

Computed properties:
energy relative to the lowest polymorph listed for this composition: 0.00 eV/f.u.
space-group type: P4/mmm
VASP energy: -2.24 eV/atom
formation enthalpy at 0 K: 0.006 eV/atom

Cell: 5.1009 5.1009 9.0407 Å, 90.00 90.00 90.00°
Positions (direct):
Ca (0.0000, 0.5000, 0.3041)
Ca (0.5000, 0.0000, 0.3041)
Ca (0.0000, 0.5000, 0.6959)
Cu (0.5000, 0.5000, 0.5000)
Mg (0.0000, 0.0000, 0.0000)
Ca (0.5000, 0.5000, 0.0000)
Ca (0.5000, 0.0000, 0.6959)


No. 9
Density functional theory data (PBE) for a geometry-optimized In4Cu3AgTe8 structure.

Computed properties:
space-group type: P1
VASP energy: -3.48 eV/atom

Cell: 6.3538 7.7996 11.9059 Å, 77.23 74.51 65.95°
Positions (direct):
Cu (0.0029, 0.9995, 0.9937)
Te (0.1180, 0.2952, 0.9432)
Te (0.3509, 0.7044, 0.0587)
In (0.7495, 0.1202, 0.3790)
Te (0.9089, 0.9393, 0.8093)
In (0.7506, 0.6297, 0.8709)
Cu (0.9968, 0.5005, 0.5062)
Te (0.6194, 0.5823, 0.6712)
Te (0.1242, 0.7935, 0.4569)
Te (0.6509, 0.0617, 0.1733)
Te (0.8907, 0.4374, 0.3256)
Cu (0.2486, 0.8756, 0.6243)
In (0.4987, 0.7499, 0.2536)
Te (0.3380, 0.1862, 0.5620)
In (0.5010, 0.2504, 0.7461)
Ag (0.2510, 0.3741, 0.1260)


No. 10
Density functional theory data (PBE) for a geometry-optimized FeHgMo structure.

Computed properties:
energy relative to the lowest polymorph listed for this composition: 0.00 eV/f.u.
space-group type: I4mm
VASP energy: -6.13 eV/atom
formation enthalpy at 0 K: 0.404 eV/atom

Cell: 5.9077 5.9078 2.9425 Å, 75.58 75.58 28.84°
Last column: magnetic moment on the atom in μB.
Positions (direct):
Hg (0.3414, 0.3414, 0.6586)  -0.01
Fe (0.0199, 0.0199, 0.9801)  0.92
Mo (0.6386, 0.6386, 0.3614)  -0.27


No. 11
Density functional theory data (PBE) for a geometry-optimized Mg2ZnIn structure.

Computed properties:
space-group type: P4/mmm
VASP energy: -1.86 eV/atom
formation enthalpy at 0 K: -0.064 eV/atom

Cell: 4.2722 4.3995 4.3995 Å, 90.00 90.00 90.00°
Positions (direct):
In (0.5000, 0.5000, 0.5000)
Mg (0.0000, 0.0000, 0.5000)
Mg (0.0000, 0.5000, 0.0000)
Zn (0.5000, 0.0000, 0.0000)


No. 12
Density functional theory data (PBE) for a geometry-optimized UTlGe2 structure.

Computed properties:
space-group type: P4/mmm
VASP energy: -5.78 eV/atom
formation enthalpy at 0 K: -0.055 eV/atom

Cell: 4.0244 4.6049 4.6049 Å, 90.00 90.00 90.00°
Last column: magnetic moment on the atom in μB.
Positions (direct):
Tl (0.5000, 0.0000, 0.0000)  0.01
U (0.5000, 0.5000, 0.5000)  1.70
Ge (0.0000, 0.5000, 0.0000)  -0.02
Ge (0.0000, 0.0000, 0.5000)  -0.02


Number 8 is which compound?
Ca5MgCu


The lowest VASP energy belongs to which entry?
LaTcS2


What is the VASP energy in the first record?
-6.48 eV/atom


Among the records above, which one has the lowest VASP energy?
LaTcS2